Entry from the Alexandria database: a geometry-optimized MgZr2Au structure (PBE-GGA). Values from VASP.

Quantum ESPRESSO input file:
```
&SYSTEM
  ibrav = 0, nat = 4, ntyp = 3
/
ATOMIC_SPECIES
Mg 24.30 Mg.upf
Zr 91.22 Zr.upf
Au 196.97 Au.upf
CELL_PARAMETERS angstrom
2.9186 -4.3545 0.0000
2.9186 4.3545 0.0000
0.0000 0.0000 3.2582
ATOMIC_POSITIONS crystal
Mg 0.0000 0.0000 0.0000
Zr 0.0000 0.5000 0.5000
Zr 0.5000 0.0000 0.5000
Au 0.5000 0.5000 0.0000
```

Total DFT energy (no corrections) ... -5.698 eV per atom
Symmetry ... Cmmm, No. 65
D(E_F) ... 3.7 states/eV per cell

---

Entry from the Alexandria database: a geometry-optimized BAs2RhBr structure (PBE-GGA). Values from VASP.

Quantum ESPRESSO input file:
```
&SYSTEM
  ibrav = 0, nat = 5, ntyp = 4
/
ATOMIC_SPECIES
B 10.81 B.upf
As 74.92 As.upf
Rh 102.91 Rh.upf
Br 79.90 Br.upf
CELL_PARAMETERS angstrom
4.7065 0.0000 0.0000
0.0000 4.7065 0.0000
0.0000 0.0000 5.4873
ATOMIC_POSITIONS crystal
B 0.0000 0.0000 0.0000
As 0.0000 0.5000 0.5000
As 0.5000 0.0000 0.5000
Rh 0.5000 0.5000 0.5000
Br 0.5000 0.5000 0.0000
```

Total DFT energy (no corrections) ... -3.810 eV per atom
Distance to the lowest polymorph of the same formula ... 240 meV per atom
Formation energy without anion corrections ... 1.1901 eV/atom
Symmetry ... P4/mmm, No. 123
D(E_F) ... 3.8 states/eV per cell

---

Entry from the Alexandria database: a geometry-optimized Hf2TiAu2 structure (PBE-GGA). Values from VASP.

Quantum ESPRESSO input file:
```
&SYSTEM
  ibrav = 0, nat = 5, ntyp = 3
/
ATOMIC_SPECIES
Hf 178.49 Hf.upf
Ti 47.87 Ti.upf
Au 196.97 Au.upf
CELL_PARAMETERS angstrom
2.1753 -7.0438 0.0000
2.1753 7.0438 0.0000
0.0000 0.0000 3.2177
ATOMIC_POSITIONS crystal
Hf 0.1096 0.8904 0.0000
Hf 0.8904 0.1096 0.0000
Ti 0.5000 0.5000 0.5000
Au 0.3122 0.6878 0.5000
Au 0.6878 0.3122 0.5000
```

Total DFT energy (no corrections) ... -7.173 eV per atom
Distance to the lowest polymorph of the same formula ... 0 meV per atom
Symmetry ... Cmmm, No. 65
D(E_F) ... 4.0 states/eV per cell